No. 1
Density functional theory data (PBE) for an optimized crystal structure of Na2Sr2Co.

Summary:
As for the energy of formation from the pure elements: 0.459 eV/atom. Its total moment is 0.00 μB/atom.

```
data_Na2Sr2Co
_chemical_formula_sum 'Na2 Sr2 Co1'
_space_group_name_H-M_alt 'P 1'
_space_group_IT_number 1
_cell_length_a 10.979
_cell_length_b 10.979
_cell_length_c 10.979
_cell_angle_alpha 159.19
_cell_angle_beta 159.19
_cell_angle_gamma 29.60
loop_
_space_group_symop_operation_xyz
'x,y,z'
loop_
_atom_site_label
_atom_site_fract_x
_atom_site_fract_y
_atom_site_fract_z
Na1 0.250 0.750 0.500
Na2 0.750 0.250 0.500
Sr1 0.081 0.081 0.000
Sr2 0.919 0.919 0.000
Co1 0.500 0.500 0.000
```

No. 2
Density functional theory data (PBE) for an optimized crystal structure of NaSrCo2.

Summary:
As for the energy of formation from the pure elements: 0.961 eV/atom. Its total moment is 0.73 μB/atom. The polymorph energy (0 for the lowest one) is 8.5 meV/atom.

```
data_NaSrCo2
_chemical_formula_sum 'Na2 Sr2 Co4'
_space_group_name_H-M_alt 'P 1'
_space_group_IT_number 1
_cell_length_a 6.271
_cell_length_b 6.271
_cell_length_c 6.271
_cell_angle_alpha 100.66
_cell_angle_beta 100.66
_cell_angle_gamma 129.06
loop_
_space_group_symop_operation_xyz
'x,y,z'
loop_
_atom_site_label
_atom_site_fract_x
_atom_site_fract_y
_atom_site_fract_z
Na1 0.000 0.000 0.000
Na2 0.750 0.250 0.500
Sr1 0.250 0.750 0.500
Sr2 0.500 0.500 0.000
Co1 0.108 0.625 0.983
Co2 0.375 0.358 0.483
Co3 0.642 0.125 0.017
Co4 0.875 0.892 0.517
```

No. 3
Density functional theory data (PBE) for an optimized crystal structure of NaSr3Co.

Summary:
As for the energy of formation from the pure elements: 0.206 eV/atom. Its total moment is 0.00 μB/atom.

```
data_NaSr3Co
_chemical_formula_sum 'Na1 Sr3 Co1'
_space_group_name_H-M_alt 'P 1'
_space_group_IT_number 1
_cell_length_a 5.867
_cell_length_b 5.867
_cell_length_c 5.867
_cell_angle_alpha 90.00
_cell_angle_beta 90.00
_cell_angle_gamma 90.00
loop_
_space_group_symop_operation_xyz
'x,y,z'
loop_
_atom_site_label
_atom_site_fract_x
_atom_site_fract_y
_atom_site_fract_z
Na1 0.000 0.000 0.000
Sr1 0.000 0.500 0.500
Sr2 0.500 0.000 0.500
Sr3 0.500 0.500 0.000
Co1 0.500 0.500 0.500
```